[1]
DFT (PBE) results for an optimized crystal structure of CaCeMgAl.

The magnetization comes out at 0.904 μB/f.u. For the total energy, the calculation gives -13.74 eV/f.u. The value obtained for the energy of formation is -118 meV per atom. The calculation puts the calculated density at 3.585 g cm⁻³.

Cell: 5.332 5.332 5.332 Å, 60.00 60.00 60.00°
Element x y z (fractional)
Ca  0.000  0.000  0.000
Ce  0.500  0.500  0.500
Mg  0.750  0.750  0.750
Al  0.250  0.250  0.250

[2]
DFT (PBE) results for an optimized crystal structure of GaPt3C.

The magnetization comes out at 0.000 μB/f.u. The energy above the most stable polymorph in this dataset comes out at 0 meV/atom. For the total energy, the calculation gives -28.70 eV/f.u. The value obtained for the energy of formation is 334 meV per atom. The calculation puts the calculated density at 14.914 g cm⁻³.

Cell: 4.203 4.203 4.203 Å, 90.00 90.00 90.00°
Element x y z (fractional)
Ga  0.000  0.000  0.000
Pt  0.000  0.500  0.500
Pt  0.500  0.000  0.500
Pt  0.500  0.500  0.000
C  0.500  0.500  0.500

[3]
DFT (PBE) results for an optimized crystal structure of Sb2Br.

For the uncorrected formation energy, the calculation gives -0.1170 eV/atom. The magnetization comes out at 0.000 μB/f.u. The energy above the most stable polymorph in this dataset comes out at 73 meV/atom. For the total energy, the calculation gives -10.27 eV/f.u. The calculation puts the calculated density at 5.572 g cm⁻³.

Cell: 4.215 4.215 6.264 Å, 90.00 90.00 120.00°
Element x y z (fractional)
Sb  0.333  0.667  0.374
Sb  0.667  0.333  0.626
Br  0.000  0.000  0.000

[4]
DFT (PBE) results for an optimized crystal structure of Ni3PN.

For the uncorrected formation energy, the calculation gives 0.0893 eV/atom. The magnetization comes out at 0.000 μB/f.u. The energy above the most stable polymorph in this dataset comes out at 0 meV/atom. For the total energy, the calculation gives -30.63 eV/f.u. The calculation puts the calculated density at 6.808 g cm⁻³.

Cell: 3.778 3.778 3.778 Å, 90.00 90.00 90.00°
Element x y z (fractional)
Ni  0.000  0.000  0.500
Ni  0.000  0.500  0.000
Ni  0.500  0.000  0.000
P  0.500  0.500  0.500
N  0.000  0.000  0.000